[1]
The following is a GGA-PBE calculation of crystalline Na2SiBr at its relaxed geometry, from Alexandria via LeMat-Bulk.

a = 6.567 Å, b = 6.567 Å, c = 6.567 Å
α = 105.00°, β = 105.00°, γ = 118.85°
Sites, in units of the cell vectors:
Na 0.109 0.625 0.984
Na 0.375 0.359 0.484
Na 0.641 0.125 0.016
Na 0.875 0.891 0.516
Si 0.250 0.750 0.500
Si 0.500 0.500 0.000
Br 0.000 0.000 0.000
Br 0.750 0.250 0.500

Calculated values
The polymorph energy (0 for the lowest one) is 0 meV per atom. For the formation energy without anion corrections, the calculation gives -122 meV/atom. The calculation puts the total magnetization at 0.00 Bohr magnetons per cell.

***

[2]
The following is a GGA-PBE calculation of crystalline Na2Mo15Se19 at its relaxed geometry, from Alexandria via LeMat-Bulk.

a = 20.557 Å, b = 20.557 Å, c = 20.557 Å
α = 27.30°, β = 27.30°, γ = 27.30°
Sites, in units of the cell vectors:
Na 0.105 0.105 0.105
Na 0.395 0.395 0.395
Na 0.605 0.605 0.605
Na 0.895 0.895 0.895
Mo 0.000 0.130 0.812
Mo 0.000 0.870 0.188
Mo 0.047 0.362 0.225
Mo 0.090 0.250 0.410
Mo 0.130 0.812 0.000
Mo 0.138 0.453 0.275
Mo 0.188 0.000 0.870
Mo 0.225 0.047 0.362
Mo 0.250 0.410 0.090
Mo 0.275 0.138 0.453
Mo 0.312 0.630 0.500
Mo 0.362 0.225 0.047
Mo 0.370 0.500 0.688
Mo 0.410 0.090 0.250
Mo 0.453 0.275 0.138
Mo 0.500 0.312 0.630
Mo 0.500 0.688 0.370
Mo 0.547 0.725 0.862
Mo 0.590 0.910 0.750
Mo 0.630 0.500 0.312
Mo 0.638 0.775 0.953
Mo 0.688 0.370 0.500
Mo 0.725 0.862 0.547
Mo 0.750 0.590 0.910
Mo 0.775 0.953 0.638
Mo 0.812 0.000 0.130
Mo 0.862 0.547 0.725
Mo 0.870 0.188 0.000
Mo 0.910 0.750 0.590
Mo 0.953 0.638 0.775
Se 0.042 0.683 0.420
Se 0.054 0.054 0.054
Se 0.054 0.306 0.689
Se 0.061 0.439 0.750
Se 0.080 0.817 0.458
Se 0.177 0.177 0.177
Se 0.183 0.542 0.920
Se 0.189 0.806 0.554
Se 0.194 0.446 0.811
Se 0.250 0.939 0.561
Se 0.306 0.689 0.054
Se 0.311 0.946 0.694
Se 0.317 0.580 0.958
Se 0.323 0.323 0.323
Se 0.420 0.042 0.683
Se 0.439 0.750 0.061
Se 0.446 0.446 0.446
Se 0.446 0.811 0.194
Se 0.458 0.080 0.817
Se 0.542 0.920 0.183
Se 0.554 0.189 0.806
Se 0.554 0.554 0.554
Se 0.561 0.250 0.939
Se 0.580 0.958 0.317
Se 0.677 0.677 0.677
Se 0.683 0.420 0.042
Se 0.689 0.054 0.306
Se 0.694 0.311 0.946
Se 0.750 0.061 0.439
Se 0.806 0.554 0.189
Se 0.811 0.194 0.446
Se 0.817 0.458 0.080
Se 0.823 0.823 0.823
Se 0.920 0.183 0.542
Se 0.939 0.561 0.250
Se 0.946 0.694 0.311
Se 0.946 0.946 0.946
Se 0.958 0.317 0.580

Calculated values
For the formation energy without anion corrections, the calculation gives -578 meV/atom. The calculation puts the total magnetization at 0.00 Bohr magnetons per cell.

***

[3]
The following is a GGA-PBE calculation of crystalline TmAl2ZnCu2 at its relaxed geometry, from Alexandria via LeMat-Bulk.

a = 4.423 Å, b = 4.423 Å, c = 5.514 Å
α = 90.00°, β = 90.00°, γ = 90.00°
Sites, in units of the cell vectors:
Tm 0.000 0.000 0.000
Al 0.500 0.500 0.239
Al 0.500 0.500 0.761
Zn 0.000 0.000 0.500
Cu 0.000 0.500 0.500
Cu 0.500 0.000 0.500

Calculated values
The value obtained for the calculated formation energy is -31.1 meV per atom. The calculation puts the total magnetization at 0.00 Bohr magnetons per cell.

***

[4]
The following is a GGA-PBE calculation of crystalline CaReHg2W at its relaxed geometry, from Alexandria via LeMat-Bulk.

a = 5.340 Å, b = 5.340 Å, c = 4.750 Å
α = 90.00°, β = 90.00°, γ = 90.00°
Sites, in units of the cell vectors:
Ca 0.000 0.000 0.000
Re 0.500 0.500 0.000
Hg 0.000 0.500 0.500
Hg 0.500 0.000 0.500
W 0.500 0.500 0.500

Calculated values
The value obtained for the calculated formation energy is 972.2 meV per atom. The calculation puts the total magnetization at 0.95 Bohr magnetons per cell.

***

Q: The highest total magnetization belongs to which entry?
A: CaReHg2W

***

Q: Which value of total magnetization does entry 1 give?
A: 0.00 Bohr magnetons per cell